VASP calculation (PBE) on a geometry-optimized KLaCl2 structure.

Properties
total magnetic moment = 0.293 μB/atom
uncorrected formation energy = -1.34 eV/atom
energy relative to the lowest polymorph listed for this composition = 325.0 meV/atom

Cell lengths 8.5078, 8.5078, 8.5078 Å; angles 151.70, 151.70, 40.45 degrees
Each line ends with the local moment (μB).
Fractional coordinates of all 4 atoms:
La 0.7500 0.2500 0.5000  0.42
Cl 0.2500 0.7500 0.5000  -0.01
Cl 0.0000 0.0000 0.0000  0.02
K 0.5000 0.5000 0.0000  0.01

VASP calculation (PBE) on a geometry-optimized Co2Pd5Pt5 structure.

Properties
energy of formation from the pure elements = -0.039 eV per atom
total magnetic moment = 0.630 μB/atom

Cell lengths 3.8979, 6.1696, 8.2989 Å; angles 72.65, 76.42, 71.59 degrees
Each line ends with the local moment (μB).
Fractional coordinates of all 12 atoms:
Pd 0.8370 0.8263 0.4996  0.33
Pt 0.5773 0.0955 0.7499  0.37
Co 0.9157 0.4141 0.7544  2.10
Pd 0.2546 0.7429 0.7479  0.28
Pt 0.6686 0.6631 0.9997  0.41
Pt 0.4227 0.9045 0.2501  0.37
Pd 0.1630 0.1737 0.5004  0.33
Pd 0.7454 0.2571 0.2521  0.28
Pt 0.3314 0.3369 0.0003  0.41
Co 0.0843 0.5859 0.2456  2.10
Pt 0.5000 0.5000 0.5000  0.42
Pd 0.0000 0.0000 0.0000  0.33

VASP calculation (PBE) on a geometry-optimized Fe5Ni2Pd12 structure.

Properties
energy of formation from the pure elements = 0.029 eV per atom
total magnetic moment = 1.092 μB/atom

Cell lengths 8.2229, 6.6208, 6.6438 Å; angles 82.17, 90.00, 128.39 degrees
Each line ends with the local moment (μB).
Fractional coordinates of all 19 atoms:
Pd 0.0144 0.6590 0.7908  0.32
Pd 0.3706 0.2102 0.6170  0.31
Pd 0.5818 0.1636 0.2862  0.29
Fe 0.2380 0.4760 0.4991  3.13
Pd 0.8396 0.2102 0.6170  0.31
Ni 0.7270 0.0000 0.0000  0.84
Pd 0.1604 0.7898 0.3830  0.31
Pd 0.8678 0.7355 0.1246  0.26
Fe 0.6367 0.2734 0.9053  3.14
Ni 0.2730 0.0000 0.0000  0.84
Pd 0.3553 0.3410 0.2092  0.32
Pd 0.6447 0.6590 0.7908  0.32
Pd 0.4182 0.8364 0.7138  0.29
Fe 0.7620 0.5240 0.5009  3.13
Pd 0.1322 0.2645 0.8754  0.26
Fe 0.0000 0.0000 0.5000  3.08
Pd 0.6294 0.7898 0.3830  0.31
Fe 0.3633 0.7266 0.0947  3.14
Pd 0.9856 0.3410 0.2092  0.32

Q: total magnetic moment of number 3 (Fe5Ni2Pd12)?
A: 1.092 μB/atom

Q: Number 1 is which compound?
A: KLaCl2

Copy entry 3 word for word.
VASP calculation (PBE) on a geometry-optimized Fe5Ni2Pd12 structure.

Properties
energy of formation from the pure elements = 0.029 eV per atom
total magnetic moment = 1.092 μB/atom

Cell lengths 8.2229, 6.6208, 6.6438 Å; angles 82.17, 90.00, 128.39 degrees
Each line ends with the local moment (μB).
Fractional coordinates of all 19 atoms:
Pd 0.0144 0.6590 0.7908  0.32
Pd 0.3706 0.2102 0.6170  0.31
Pd 0.5818 0.1636 0.2862  0.29
Fe 0.2380 0.4760 0.4991  3.13
Pd 0.8396 0.2102 0.6170  0.31
Ni 0.7270 0.0000 0.0000  0.84
Pd 0.1604 0.7898 0.3830  0.31
Pd 0.8678 0.7355 0.1246  0.26
Fe 0.6367 0.2734 0.9053  3.14
Ni 0.2730 0.0000 0.0000  0.84
Pd 0.3553 0.3410 0.2092  0.32
Pd 0.6447 0.6590 0.7908  0.32
Pd 0.4182 0.8364 0.7138  0.29
Fe 0.7620 0.5240 0.5009  3.13
Pd 0.1322 0.2645 0.8754  0.26
Fe 0.0000 0.0000 0.5000  3.08
Pd 0.6294 0.7898 0.3830  0.31
Fe 0.3633 0.7266 0.0947  3.14
Pd 0.9856 0.3410 0.2092  0.32